La2In5Pt3 | PBE | optimized geometry

Cell: 4.5691 7.5172 13.7041 Å, 90.00 99.60 90.00°
Closest atoms and distances in Å follow each position.
Positions (direct):
In  0.5988  0.9055  0.1976  3 Pt 2.78-2.90, 1 In 3.03
In  0.4012  0.4055  0.8024  3 Pt 2.78-2.90, 1 In 3.03
In  0.7082  0.9954  0.4164  3 Pt 2.79-2.82, 2 In 3.03
In  0.8745  0.7511  0.7490  4 Pt 2.84-3.09
In  0.2932  0.8983  0.5863  4 Pt 2.79-2.82, 1 In 3.03
In  0.0527  0.6162  0.1055  4 Pt 2.81-2.87
In  0.7068  0.3983  0.4137  4 Pt 2.79-2.82, 1 In 3.03
In  0.1255  0.2511  0.2510  4 Pt 2.84-3.09
In  0.2918  0.4954  0.5836  3 Pt 2.79-2.82, 2 In 3.03
In  0.9473  0.1162  0.8945  4 Pt 2.81-2.87
Pt  0.3904  0.0220  0.7809  6 In 2.79-3.09, 1 La 2.93
Pt  0.2293  0.1956  0.4587  7 In 2.79-2.84
Pt  0.6096  0.5220  0.2191  6 In 2.79-3.09, 1 La 2.93
Pt  0.0458  0.9966  0.0916  5 In 2.78-2.88
Pt  0.7707  0.6956  0.5413  7 In 2.79-2.84
Pt  0.9542  0.4966  0.9084  5 In 2.78-2.88
La  0.4764  0.7834  0.9527  3 Pt 2.93-3.20
La  0.1753  0.7007  0.3507  4 Pt 3.19-3.44, 9 In 3.30-3.51
La  0.8247  0.2007  0.6493  4 Pt 3.19-3.44, 9 In 3.30-3.51
La  0.5236  0.2834  0.0473  3 Pt 2.93-3.20

Summary:
The total energy is -4.9398 eV/atom. As for the space group: Cmc2_1 (36).



La2InPt5Rh2 | PBE | optimized geometry

Cell: 4.2081 9.5512 9.5512 Å, 90.00 90.00 90.00°
Closest atoms and distances in Å follow each position.
Positions (direct):
Pt  0.5000  0.4367  0.2954  2 Rh 2.72, 3 Pt 2.89, 2 In 2.93
Pt  0.5000  0.7046  0.4367  2 Rh 2.72, 3 Pt 2.89, 2 In 2.93
Pt  0.5000  0.5633  0.7046  2 Rh 2.72, 3 Pt 2.89, 2 In 2.93
Pt  0.5000  0.7954  0.9367  2 Rh 2.72, 3 Pt 2.89, 2 In 2.93
Pt  0.5000  0.2954  0.5633  2 Rh 2.72, 3 Pt 2.89, 2 In 2.93
Pt  0.5000  0.0633  0.7954  2 Rh 2.72, 3 Pt 2.89, 2 In 2.93
Pt  0.5000  0.2046  0.0633  2 Rh 2.72, 3 Pt 2.89, 2 In 2.93
Pt  0.5000  0.9367  0.2046  2 Rh 2.72, 3 Pt 2.89, 2 In 2.93
Pt  0.5000  0.5000  0.0000  4 Rh 2.72, 4 Pt 2.89
Pt  0.5000  0.0000  0.5000  4 Rh 2.72, 4 Pt 2.89
In  0.0000  0.0000  0.0000  8 Pt 2.93
In  0.0000  0.5000  0.5000  8 Pt 2.93
La  0.0000  0.6722  0.1722  3 Rh 2.71-2.89
La  0.0000  0.3278  0.8278  3 Rh 2.71-2.89
La  0.0000  0.1722  0.3278  3 Rh 2.71-2.89
La  0.0000  0.8278  0.6722  3 Rh 2.71-2.89
Rh  0.0000  0.1273  0.6273  3 La 2.71-2.89, 6 Pt 2.72
Rh  0.0000  0.6273  0.8727  3 La 2.71-2.89, 6 Pt 2.72
Rh  0.0000  0.3727  0.1273  3 La 2.71-2.89, 6 Pt 2.72
Rh  0.0000  0.8727  0.3727  3 La 2.71-2.89, 6 Pt 2.72

Summary:
The total energy is -6.4832 eV/atom. As for the space group: P4/mbm (127).



LaInPt2S | PBE | optimized geometry

Cell: 4.6894 5.3266 4.6894 Å, 90.00 90.00 90.00°
Closest atoms and distances in Å follow each position.
Positions (direct):
Pt  0.0000  0.0000  0.5000  2 S 2.34
Pt  0.5000  0.0000  0.0000  2 S 2.34
La  0.0000  0.5000  0.0000  2 S 2.66
In  0.5000  0.5000  0.5000  4 La 3.32, 8 Pt 3.55
S  0.0000  0.0000  0.0000  4 Pt 2.34

Summary:
As for the space group: P4/mmm (123). The calculation puts the uncorrected formation energy at -0.3652 eV per atom.



La3InSi2Pt9 | PBE | optimized geometry

Cell: 5.8288 5.8288 11.4083 Å, 90.00 90.00 120.00°
Closest atoms and distances in Å follow each position.
Positions (direct):
La  0.0000  0.0000  0.0000  6 Pt 2.91
La  0.3333  0.6667  0.7488  9 Pt 2.97-3.32
La  0.6667  0.3333  0.2512  9 Pt 2.97-3.32
Pt  0.3204  0.1602  0.6986  1 Si 2.38
Pt  0.8398  0.1602  0.6986  1 Si 2.38
Pt  0.0000  0.5000  0.0000  2 Si 2.48
Pt  0.1602  0.8398  0.3014  1 Si 2.38
Pt  0.1602  0.3204  0.3014  1 Si 2.38
Pt  0.8398  0.6796  0.6986  1 Si 2.38
Pt  0.5000  0.5000  0.0000  2 Si 2.48
Pt  0.5000  0.0000  0.0000  2 Si 2.48
Pt  0.6796  0.8398  0.3014  1 Si 2.38
In  0.0000  0.0000  0.5000  6 Pt 2.78
Si  0.3333  0.6667  0.1593  6 Pt 2.38-2.48
Si  0.6667  0.3333  0.8407  6 Pt 2.38-2.48

Summary:
As for the space group: P-3m1 (164). The calculation puts the uncorrected formation energy at -0.8352 eV per atom.



La2InSi3Pt4 | PBE | optimized geometry

Cell: 4.3628 4.3628 10.2786 Å, 90.00 90.00 90.00°
Closest atoms and distances in Å follow each position.
Positions (direct):
La  0.0000  0.5000  0.7552  8 Pt 3.28-3.33, 6 Si 3.34-3.41, 2 In 3.41
La  0.5000  0.0000  0.2448  8 Pt 3.28-3.33, 6 Si 3.34-3.41, 2 In 3.41
Pt  0.0000  0.0000  0.0000  4 Si 2.51
Pt  0.0000  0.5000  0.3529  3 Si 2.39-2.65, 2 In 2.65
Pt  0.5000  0.0000  0.6471  3 Si 2.39-2.65, 2 In 2.65
Pt  0.5000  0.5000  0.0000  4 Si 2.51
Si  0.0000  0.0000  0.5000  4 Pt 2.65
Si  0.5000  0.0000  0.8799  5 Pt 2.39-2.51
Si  0.0000  0.5000  0.1201  5 Pt 2.39-2.51
In  0.5000  0.5000  0.5000  4 Pt 2.65

Summary:
As for the space group: P-4m2 (115). The calculation puts the uncorrected formation energy at -1.0193 eV per atom.



LaInSnPt2 | PBE | optimized geometry

Cell: 5.0445 5.8545 5.0445 Å, 90.00 90.00 90.00°
Closest atoms and distances in Å follow each position.
Positions (direct):
Pt  0.5000  0.0000  0.0000  2 Sn 2.52
Pt  0.0000  0.0000  0.5000  2 Sn 2.52
Sn  0.0000  0.0000  0.0000  4 Pt 2.52
La  0.0000  0.5000  0.0000  2 Sn 2.93
In  0.5000  0.5000  0.5000  4 La 3.57, 8 Pt 3.86

Summary:
The total energy is -4.4781 eV/atom. As for the space group: P4/mmm (123).



LaInSnPt3 | PBE | optimized geometry

Cell: 5.7595 5.7639 9.3469 Å, 107.96 90.00 90.00°
Closest atoms and distances in Å follow each position.
Positions (direct):
La  0.2500  0.7139  0.4279  4 Pt 2.94-2.97
La  0.7500  0.2861  0.5721  4 Pt 2.94-2.97
Pt  0.5000  0.2456  0.0000  2 Sn 2.67, 2 In 2.72, 4 Pt 2.83-2.93
Pt  0.2500  0.2538  0.5076  1 Sn 2.67, 1 In 2.69, 4 La 2.94-2.97
Pt  0.5000  0.7544  0.0000  2 Sn 2.67, 2 In 2.72, 4 Pt 2.83-2.93
Pt  0.0000  0.2456  0.0000  2 Sn 2.67, 2 In 2.72, 4 Pt 2.83-2.93
Pt  0.0000  0.7544  0.0000  2 Sn 2.67, 2 In 2.72, 4 Pt 2.83-2.93
Pt  0.7500  0.7462  0.4924  1 Sn 2.67, 1 In 2.69, 4 La 2.94-2.97
Sn  0.2500  0.4040  0.8080  5 Pt 2.67
Sn  0.7500  0.5960  0.1920  5 Pt 2.67
In  0.2500  0.1028  0.2057  5 Pt 2.69-2.72
In  0.7500  0.8972  0.7943  5 Pt 2.69-2.72

Summary:
The total energy is -5.6023 eV/atom. As for the space group: Cmcm (63).



SrLaIn2Pt | PBE | optimized geometry

Cell: 5.8383 6.4801 5.8383 Å, 90.00 90.00 90.00°
Closest atoms and distances in Å follow each position.
Positions (direct):
La  0.0000  0.0000  0.0000  4 In 2.92, 2 Sr 3.24
Sr  0.0000  0.5000  0.0000  2 La 3.24
Pt  0.5000  0.5000  0.5000  4 Sr 4.13, 8 In 4.36
In  0.0000  0.0000  0.5000  2 La 2.92
In  0.5000  0.0000  0.0000  2 La 2.92

Summary:
The total energy is -2.4769 eV/atom. As for the space group: P4/mmm (123).